## P
# Y2ZrI GGA-PBE relaxed
data_Y2ZrI
_cell_length_a 3.536
_cell_length_b 3.536
_cell_length_c 33.526
_cell_angle_alpha 90.00
_cell_angle_beta 90.00
_cell_angle_gamma 120.00
_symmetry_space_group_name_H-M 'P 1'
_symmetry_Int_Tables_number 1
loop_
_symmetry_equiv_pos_as_xyz
'x,y,z'
loop_
_atom_site_label
_atom_site_type_symbol
_atom_site_fract_x
_atom_site_fract_y
_atom_site_fract_z
Y1 Y 0.000 0.000 0.092
Y2 Y 0.000 0.000 0.908
Y3 Y 0.333 0.667 0.575
Y4 Y 0.333 0.667 0.758
Y5 Y 0.667 0.333 0.242
Y6 Y 0.667 0.333 0.425
Zr1 Zr 0.000 0.000 0.000
Zr2 Zr 0.333 0.667 0.667
Zr3 Zr 0.667 0.333 0.333
I1 I 0.000 0.000 0.500
I2 I 0.333 0.667 0.167
I3 I 0.667 0.333 0.833
# V: 30.3 Å³ per atom
# Mass density: 5.433 g/cm3
# Spin magnetization: 4.9 μB per cell

=====

## Q
# Y2ZrI GGA-PBE relaxed
data_Y2ZrI
_cell_length_a 7.704
_cell_length_b 7.704
_cell_length_c 7.704
_cell_angle_alpha 90.00
_cell_angle_beta 90.00
_cell_angle_gamma 90.00
_symmetry_space_group_name_H-M 'P 1'
_symmetry_Int_Tables_number 1
loop_
_symmetry_equiv_pos_as_xyz
'x,y,z'
loop_
_atom_site_label
_atom_site_type_symbol
_atom_site_fract_x
_atom_site_fract_y
_atom_site_fract_z
Y1 Y 0.250 0.250 0.250
Y2 Y 0.250 0.250 0.750
Y3 Y 0.250 0.750 0.250
Y4 Y 0.250 0.750 0.750
Y5 Y 0.750 0.250 0.250
Y6 Y 0.750 0.250 0.750
Y7 Y 0.750 0.750 0.250
Y8 Y 0.750 0.750 0.750
Zr1 Zr 0.000 0.000 0.000
Zr2 Zr 0.000 0.500 0.500
Zr3 Zr 0.500 0.000 0.500
Zr4 Zr 0.500 0.500 0.000
I1 I 0.000 0.000 0.500
I2 I 0.000 0.500 0.000
I3 I 0.500 0.000 0.000
I4 I 0.500 0.500 0.500
# V: 28.6 Å³ per atom
# Mass density: 5.751 g/cm3
# Spin magnetization: 9.2 μB per cell

=====

## R
# Y2ZrI GGA-PBE relaxed
data_Y2ZrI
_cell_length_a 8.725
_cell_length_b 8.725
_cell_length_c 6.382
_cell_angle_alpha 90.00
_cell_angle_beta 90.00
_cell_angle_gamma 90.00
_symmetry_space_group_name_H-M 'P 1'
_symmetry_Int_Tables_number 1
loop_
_symmetry_equiv_pos_as_xyz
'x,y,z'
loop_
_atom_site_label
_atom_site_type_symbol
_atom_site_fract_x
_atom_site_fract_y
_atom_site_fract_z
Y1 Y 0.215 0.250 0.125
Y2 Y 0.250 0.715 0.375
Y3 Y 0.250 0.785 0.875
Y4 Y 0.285 0.250 0.625
Y5 Y 0.715 0.750 0.625
Y6 Y 0.750 0.215 0.875
Y7 Y 0.750 0.285 0.375
Y8 Y 0.785 0.750 0.125
Zr1 Zr 0.000 0.000 0.500
Zr2 Zr 0.000 0.500 0.750
Zr3 Zr 0.500 0.000 0.250
Zr4 Zr 0.500 0.500 0.000
I1 I 0.000 0.000 0.000
I2 I 0.000 0.500 0.250
I3 I 0.500 0.000 0.750
I4 I 0.500 0.500 0.500
# V: 30.4 Å³ per atom
# Mass density: 5.413 g/cm3
# Spin magnetization: 3.8 μB per cell

=====

Name the most stable of them. P.